Material: TmPaIn2
Method: DFT, PBE
State: optimized geometry

Cell: 3.2823 3.2823 9.3272 Å, 90.00 90.00 90.00°
Site moments in Bohr magnetons follow the coordinates.
Atoms (fractional coordinates):
In 0.0000 0.0000 0.7553  0.01
In 0.0000 0.0000 0.2447  0.01
Pa 0.5000 0.5000 0.5000  -0.42
Tm 0.5000 0.5000 0.0000  0.29

Properties
Energy above the most stable polymorph in this dataset ... 0.000 eV/atom
Calculated volume ... 100 Å³/cell
M_tot ... 0.2 Bohr magnetons per cell
SG ... No. 123
Calculated formation energy ... -0.196 eV per atom